# 1
The following is a DFT calculation (PBE) of a geometry-optimized Th2PaN4 structure.

Results
Excess energy over the best structure of this formula in the dataset: 0.182 eV/atom
Energy relative to the elements, uncorrected: -1.45 eV/atom

a b c (Å): 6.5181 6.5181 6.5181
angles (deg): 111.05 106.36 111.05
With the nearest neighbours (Å) after each atom.
Sites, in units of the cell vectors:
N (0.7567, 0.2610, 0.8943)  1 Pa 2.31, 2 Th 2.45-2.56
N (0.9933, 0.6376, 0.7543)  1 Pa 2.31, 2 Th 2.45-2.56
N (0.6333, 0.7390, 0.4957)  1 Pa 2.31, 2 Th 2.45-2.56
N (0.6443, 0.7610, 0.0067)  1 Pa 2.31, 2 Th 2.45-2.56
N (0.1167, 0.3624, 0.3557)  1 Pa 2.31, 2 Th 2.45-2.56
N (0.1057, 0.8624, 0.3667)  1 Pa 2.31, 2 Th 2.45-2.56
N (0.2457, 0.2390, 0.8833)  1 Pa 2.31, 2 Th 2.45-2.56
N (0.5043, 0.1376, 0.2433)  1 Pa 2.31, 2 Th 2.45-2.56
Pa (0.0000, 0.0000, 0.0000)  4 N 2.31
Pa (0.7500, 0.5000, 0.2500)  4 N 2.31
Th (0.8750, 0.1363, 0.5113)  4 N 2.45-2.56
Th (0.4887, 0.3637, 0.6250)  4 N 2.45-2.56
Th (0.3750, 0.8637, 0.7387)  4 N 2.45-2.56
Th (0.2613, 0.6363, 0.1250)  4 N 2.45-2.56

---

# 2
The following is a DFT calculation (PBE) of a geometry-optimized Th5PaN6 structure.

Results
Energy relative to the elements, uncorrected: -1.58 eV/atom

a b c (Å): 6.2887 6.2947 6.2905
angles (deg): 59.98 80.37 70.46
With the nearest neighbours (Å) after each atom.
Sites, in units of the cell vectors:
Th (0.0000, 0.6666, 0.6668)  6 N 2.56-2.58
Th (0.5000, 0.8324, 0.3351)  6 N 2.56-2.69
Th (0.0000, 0.3334, 0.3332)  6 N 2.56-2.58
Th (0.5000, 0.1676, 0.6649)  6 N 2.56-2.69
Th (0.5000, 0.5000, 0.0000)  6 N 2.58-2.67
N (0.2421, 0.2377, 0.0000)  1 Pa 2.47, 5 Th 2.56-2.67
N (0.2350, 0.6041, 0.3182)  1 Pa 2.44, 5 Th 2.56-2.69
N (0.7579, 0.7623, 0.0000)  1 Pa 2.47, 5 Th 2.56-2.67
N (0.2350, 0.9223, 0.6818)  1 Pa 2.44, 5 Th 2.56-2.69
N (0.7650, 0.3959, 0.6818)  1 Pa 2.44, 5 Th 2.56-2.69
N (0.7650, 0.0777, 0.3182)  1 Pa 2.44, 5 Th 2.56-2.69
Pa (0.0000, 0.0000, 0.0000)  6 N 2.44-2.47

---

# 3
The following is a DFT calculation (PBE) of a geometry-optimized ThPa3N6 structure.

Results
Excess energy over the best structure of this formula in the dataset: 0.000 eV/atom
Energy relative to the elements, uncorrected: -1.67 eV/atom

a b c (Å): 3.5821 9.4348 9.2784
angles (deg): 105.00 90.00 90.00
With the nearest neighbours (Å) after each atom.
Sites, in units of the cell vectors:
Th (0.7500, 0.6815, 0.0740)  5 N 2.41-2.63
Th (0.2500, 0.3185, 0.9260)  5 N 2.41-2.63
N (0.2500, 0.4161, 0.5475)  4 Pa 2.21-2.36
N (0.2500, 0.9524, 0.5943)  4 Pa 2.27-2.35
N (0.2500, 0.2181, 0.2647)  3 Pa 2.25-2.35
N (0.2500, 0.7111, 0.2868)  3 Pa 2.31-2.49
N (0.2500, 0.5599, 0.8844)  3 Th 2.41-2.56, 2 Pa 2.54
N (0.7500, 0.7819, 0.7353)  3 Pa 2.25-2.35
N (0.7500, 0.0476, 0.4057)  4 Pa 2.27-2.35
N (0.7500, 0.5839, 0.4525)  4 Pa 2.21-2.36
N (0.7500, 0.2889, 0.7132)  3 Pa 2.31-2.49
N (0.7500, 0.4401, 0.1156)  3 Th 2.41-2.56, 2 Pa 2.54
N (0.2500, 0.9128, 0.0696)  3 Pa 2.26-2.41
N (0.7500, 0.0872, 0.9304)  3 Pa 2.26-2.41
Pa (0.2500, 0.4754, 0.3159)  7 N 2.28-2.54
Pa (0.2500, 0.9202, 0.8281)  6 N 2.25-2.41
Pa (0.7500, 0.5246, 0.6841)  7 N 2.28-2.54
Pa (0.7500, 0.0798, 0.1719)  6 N 2.25-2.41
Pa (0.2500, 0.1786, 0.5333)  4 N 2.21-2.35
Pa (0.7500, 0.8214, 0.4667)  4 N 2.21-2.35

---

# 4
The following is a DFT calculation (PBE) of a geometry-optimized Th2PaN3 structure.

Results
Excess energy over the best structure of this formula in the dataset: 0.009 eV/atom
Energy relative to the elements, uncorrected: -1.59 eV/atom

a b c (Å): 6.2351 6.2393 6.2393
angles (deg): 119.87 99.57 99.57
With the nearest neighbours (Å) after each atom.
Sites, in units of the cell vectors:
N (0.5000, 0.0000, 0.5000)  2 Pa 2.54, 4 Th 2.55
N (0.9934, 0.8034, 0.6506)  2 Pa 2.43-2.47, 4 Th 2.55-2.66
N (0.0000, 0.5000, 0.0000)  2 Pa 2.54, 4 Th 2.55
N (0.4934, 0.6506, 0.8034)  2 Pa 2.43-2.47, 4 Th 2.55-2.66
N (0.5066, 0.3494, 0.1966)  2 Pa 2.43-2.47, 4 Th 2.55-2.66
N (0.0066, 0.1966, 0.3494)  2 Pa 2.43-2.47, 4 Th 2.55-2.66
Pa (0.7500, 0.4158, 0.5842)  6 N 2.43-2.54
Pa (0.2500, 0.5842, 0.4158)  6 N 2.43-2.54
Th (0.2500, 0.9162, 0.0838)  6 N 2.55-2.63
Th (0.7500, 0.7522, 0.2478)  6 N 2.55-2.66
Th (0.2500, 0.2478, 0.7522)  6 N 2.55-2.66
Th (0.7500, 0.0838, 0.9162)  6 N 2.55-2.63

---

# 5
The following is a DFT calculation (PBE) of a geometry-optimized Th2PaTiN6 structure.

Results
Energy relative to the elements, uncorrected: -1.39 eV/atom

a b c (Å): 5.9553 5.9548 5.7779
angles (deg): 58.97 58.96 60.00
With the nearest neighbours (Å) after each atom.
Sites, in units of the cell vectors:
Th (0.5519, 0.5520, 0.3443)  6 N 2.38-2.66
Th (0.0804, 0.0803, 0.7588)  6 N 2.38-2.67
Ti (0.3162, 0.3162, 0.0515)  6 N 2.08-2.09
N (0.6582, 0.0981, 0.7882)  1 Ti 2.08, 1 Pa 2.24
N (0.5343, 0.1769, 0.3148)  1 Ti 2.09, 1 Pa 2.24
N (0.9742, 0.5343, 0.3148)  1 Ti 2.08, 1 Pa 2.24
N (0.4555, 0.6582, 0.7878)  1 Ti 2.08, 1 Pa 2.24
N (0.1768, 0.9741, 0.3153)  1 Ti 2.08, 1 Pa 2.24
N (0.0981, 0.4554, 0.7882)  1 Ti 2.09, 1 Pa 2.24
Pa (0.8162, 0.8162, 0.5515)  6 N 2.24

---

# 6
The following is a DFT calculation (PBE) of a geometry-optimized Th3Pa4TlN12 structure.

Results
Energy relative to the elements, uncorrected: -1.21 eV/atom

a b c (Å): 7.4842 7.4842 7.4842
angles (deg): 109.47 109.47 109.47
With the nearest neighbours (Å) after each atom.
Sites, in units of the cell vectors:
N (0.7917, 0.1068, 0.3151)  2 Pa 2.26, 1 Th 2.41
N (0.2083, 0.8932, 0.6849)  2 Pa 2.26, 1 Th 2.41
N (0.1068, 0.3151, 0.7917)  2 Pa 2.26, 1 Th 2.41
N (0.4765, 0.6849, 0.7917)  2 Pa 2.26, 1 Th 2.41
N (0.8932, 0.6849, 0.2083)  2 Pa 2.26, 1 Th 2.41
N (0.7917, 0.4765, 0.6849)  2 Pa 2.26, 1 Th 2.41
N (0.3151, 0.7917, 0.1068)  2 Pa 2.26, 1 Th 2.41
N (0.5235, 0.3151, 0.2083)  2 Pa 2.26, 1 Th 2.41
N (0.2083, 0.5235, 0.3151)  2 Pa 2.26, 1 Th 2.41
N (0.6849, 0.7917, 0.4765)  2 Pa 2.26, 1 Th 2.41
N (0.6849, 0.2083, 0.8932)  2 Pa 2.26, 1 Th 2.41
N (0.3151, 0.2083, 0.5235)  2 Pa 2.26, 1 Th 2.41
Tl (0.0000, 0.0000, 0.0000)  12 N 3.26
Pa (0.5000, 0.5000, 0.5000)  6 N 2.26
Pa (0.0000, 0.5000, 0.0000)  6 N 2.26
Pa (0.5000, 0.0000, 0.0000)  6 N 2.26
Pa (0.0000, 0.0000, 0.5000)  6 N 2.26
Th (0.5000, 0.0000, 0.5000)  4 N 2.41
Th (0.5000, 0.5000, 0.0000)  4 N 2.41
Th (0.0000, 0.5000, 0.5000)  4 N 2.41

---

# 7
The following is a DFT calculation (PBE) of a geometry-optimized TmTh2PaN4 structure.

Results
Energy relative to the elements, uncorrected: -1.63 eV/atom

a b c (Å): 3.5399 6.1049 6.2160
angles (deg): 108.96 90.00 90.00
With the nearest neighbours (Å) after each atom.
Sites, in units of the cell vectors:
Tm (0.5000, 0.5000, 0.0000)  6 N 2.42-2.45
Th (0.5000, 0.0000, 0.5000)  6 N 2.59-2.61
Th (0.0000, 0.5000, 0.5000)  6 N 2.62
Pa (0.0000, 0.0000, 0.0000)  6 N 2.39-2.42
N (0.0000, 0.2525, 0.7750)  1 Pa 2.39, 2 Tm 2.45, 3 Th 2.59-2.62
N (0.5000, 0.7608, 0.7794)  1 Tm 2.42, 2 Pa 2.42, 3 Th 2.61-2.62
N (0.0000, 0.7475, 0.2250)  1 Pa 2.39, 2 Tm 2.45, 3 Th 2.59-2.62
N (0.5000, 0.2392, 0.2206)  1 Tm 2.42, 2 Pa 2.42, 3 Th 2.61-2.62

---

# 8
The following is a DFT calculation (PBE) of a geometry-optimized ThU2PaN4 structure.

Results
Energy relative to the elements, uncorrected: -1.43 eV/atom

a b c (Å): 3.5096 6.0634 6.0951
angles (deg): 109.48 90.00 90.00
With the nearest neighbours (Å) after each atom.
Sites, in units of the cell vectors:
U (0.5000, 0.0000, 0.5000)  6 N 2.39-2.40
U (0.0000, 0.5000, 0.5000)  6 N 2.47
Th (0.5000, 0.5000, 0.0000)  6 N 2.57
Pa (0.0000, 0.0000, 0.0000)  6 N 2.49-2.50
N (0.0000, 0.2333, 0.7311)  3 U 2.39-2.47, 1 Pa 2.50, 2 Th 2.57
N (0.5000, 0.2437, 0.2606)  3 U 2.40-2.47, 2 Pa 2.49, 1 Th 2.57
N (0.5000, 0.7563, 0.7394)  3 U 2.40-2.47, 2 Pa 2.49, 1 Th 2.57
N (0.0000, 0.7667, 0.2689)  3 U 2.39-2.47, 1 Pa 2.50, 2 Th 2.57

---

# 9
The following is a DFT calculation (PBE) of a geometry-optimized Th2UPaN4 structure.

Results
Energy relative to the elements, uncorrected: -1.51 eV/atom

a b c (Å): 3.5658 6.1633 6.1547
angles (deg): 109.40 90.00 90.00
With the nearest neighbours (Å) after each atom.
Sites, in units of the cell vectors:
Th (0.0000, 0.5000, 0.5000)  6 N 2.62-2.63
Th (0.5000, 0.0000, 0.5000)  6 N 2.59-2.60
N (0.5000, 0.2376, 0.2223)  2 U 2.42, 1 Pa 2.44, 3 Th 2.59-2.62
N (0.0000, 0.2540, 0.7761)  1 U 2.40, 2 Pa 2.45, 3 Th 2.60-2.63
N (0.5000, 0.7624, 0.7777)  2 U 2.42, 1 Pa 2.44, 3 Th 2.59-2.62
N (0.0000, 0.7460, 0.2239)  1 U 2.40, 2 Pa 2.45, 3 Th 2.60-2.63
U (0.0000, 0.0000, 0.0000)  6 N 2.40-2.42
Pa (0.5000, 0.5000, 0.0000)  6 N 2.44-2.45

---

# 10
The following is a DFT calculation (PBE) of a geometry-optimized ThUPa2N4 structure.

Results
Energy relative to the elements, uncorrected: -1.52 eV/atom

a b c (Å): 3.5324 6.1053 6.1045
angles (deg): 109.53 90.00 90.00
With the nearest neighbours (Å) after each atom.
Sites, in units of the cell vectors:
N (0.5000, 0.2414, 0.2539)  3 Pa 2.43-2.51, 2 U 2.48, 1 Th 2.56
N (0.0000, 0.7656, 0.2620)  3 Pa 2.43-2.51, 1 U 2.48, 2 Th 2.56
N (0.0000, 0.2344, 0.7380)  3 Pa 2.43-2.51, 1 U 2.48, 2 Th 2.56
N (0.5000, 0.7586, 0.7461)  3 Pa 2.43-2.51, 2 U 2.48, 1 Th 2.56
Pa (0.0000, 0.5000, 0.5000)  6 N 2.51
Pa (0.5000, 0.0000, 0.5000)  6 N 2.43
U (0.0000, 0.0000, 0.0000)  6 N 2.48
Th (0.5000, 0.5000, 0.0000)  6 N 2.56